<w>
This record from the Open Quantum Materials Database describes a geometry-optimized YZnFePd structure. The functional is PBE.

a b c (Å): 4.670 4.670 4.670
angles (deg): 60.00 60.00 60.00
Fractional positions:
Y1 0.000 0.000 0.000
Zn1 0.250 0.250 0.250
Fe1 0.500 0.500 0.500
Pd1 0.750 0.750 0.750

<x>
This record from the Open Quantum Materials Database describes a geometry-optimized YZnFePd structure. The functional is PBE.

a b c (Å): 4.613 4.613 4.613
angles (deg): 60.00 60.00 60.00
Fractional positions:
Y1 0.000 0.000 0.000
Zn1 0.500 0.500 0.500
Fe1 0.750 0.750 0.750
Pd1 0.250 0.250 0.250

Least stable of them? <w>.

<w>
This record from the Open Quantum Materials Database describes a geometry-optimized Pm2Fe structure. The functional is PBE.

a b c (Å): 7.952 7.952 7.952
angles (deg): 60.00 60.00 60.00
Fractional positions:
Pm1 0.000 0.000 0.000
Pm2 0.000 0.000 0.500
Pm3 0.000 0.500 0.000
Pm4 0.500 0.000 0.000
Fe1 0.125 0.125 0.125
Fe2 0.875 0.875 0.875

<x>
This record from the Open Quantum Materials Database describes a geometry-optimized Pm2Fe structure. The functional is PBE.

a b c (Å): 6.009 6.009 6.009
angles (deg): 60.00 60.00 60.00
Fractional positions:
Pm1 0.000 0.000 0.000
Pm2 0.000 0.000 0.500
Pm3 0.000 0.500 0.000
Pm4 0.500 0.000 0.000
Fe1 0.375 0.375 0.375
Fe2 0.625 0.625 0.625

Least stable of them? <x>.

<w>
This record from the Open Quantum Materials Database describes a geometry-optimized PmFeTe structure. The functional is PBE.

a b c (Å): 4.824 4.824 4.824
angles (deg): 60.00 60.00 60.00
Fractional positions:
Pm1 0.000 0.000 0.000
Fe1 0.500 0.500 0.500
Te1 0.750 0.750 0.750

<x>
This record from the Open Quantum Materials Database describes a geometry-optimized PmFeTe structure. The functional is PBE.

a b c (Å): 5.029 5.029 5.029
angles (deg): 60.00 60.00 60.00
Fractional positions:
Pm1 0.000 0.000 0.000
Fe1 0.750 0.750 0.750
Te1 0.250 0.250 0.250

Least stable of them? <x>.

<w>
This record from the Open Quantum Materials Database describes a geometry-optimized PmFeW structure. The functional is PBE.

a b c (Å): 4.572 4.572 4.572
angles (deg): 60.00 60.00 60.00
Fractional positions:
Pm1 0.000 0.000 0.000
Fe1 0.750 0.750 0.750
W1 0.250 0.250 0.250

<x>
This record from the Open Quantum Materials Database describes a geometry-optimized PmFeW structure. The functional is PBE.

a b c (Å): 4.412 4.412 4.412
angles (deg): 60.00 60.00 60.00
Fractional positions:
Pm1 0.000 0.000 0.000
Fe1 0.250 0.250 0.250
W1 0.500 0.500 0.500

Least stable of them? <w>.

<w>
This record from the Open Quantum Materials Database describes a geometry-optimized RbPrFeS3 structure. The functional is PBE.

a b c (Å): 7.636 7.636 10.924
angles (deg): 90.00 90.00 148.78
Fractional positions:
Rb1 0.242 0.758 0.750
Rb2 0.758 0.242 0.250
Pr1 0.500 0.500 0.000
Pr2 0.500 0.500 0.500
Fe1 0.031 0.969 0.250
Fe2 0.969 0.031 0.750
S1 0.121 0.879 0.078
S2 0.121 0.879 0.422
S3 0.444 0.556 0.250
S4 0.556 0.444 0.750
S5 0.879 0.121 0.578
S6 0.879 0.121 0.922

<x>
This record from the Open Quantum Materials Database describes a geometry-optimized RbPrFeS3 structure. The functional is PBE.

a b c (Å): 11.233 4.246 12.352
angles (deg): 90.00 90.00 90.00
Fractional positions:
Rb1 0.166 0.250 0.009
Rb2 0.334 0.750 0.509
Rb3 0.666 0.250 0.491
Rb4 0.834 0.750 0.991
Pr1 0.021 0.250 0.669
Pr2 0.479 0.750 0.169
Pr3 0.521 0.250 0.831
Pr4 0.979 0.750 0.331
Fe1 0.241 0.250 0.294
Fe2 0.259 0.750 0.794
Fe3 0.741 0.250 0.206
Fe4 0.759 0.750 0.706
S1 0.059 0.750 0.823
S2 0.111 0.250 0.440
S3 0.214 0.750 0.212
S4 0.286 0.250 0.712
S5 0.389 0.750 0.940
S6 0.441 0.250 0.323
S7 0.559 0.750 0.677
S8 0.611 0.250 0.060
S9 0.714 0.750 0.288
S10 0.786 0.250 0.788
S11 0.889 0.750 0.560
S12 0.941 0.250 0.177

Least stable of them? <x>.

<w>
This record from the Open Quantum Materials Database describes a geometry-optimized RbPrFeTe3 structure. The functional is PBE.

a b c (Å): 12.481 4.675 13.808
angles (deg): 90.00 90.00 90.00
Fractional positions:
Rb1 0.176 0.250 0.002
Rb2 0.324 0.750 0.502
Rb3 0.676 0.250 0.498
Rb4 0.824 0.750 0.998
Pr1 0.022 0.250 0.675
Pr2 0.478 0.750 0.175
Pr3 0.522 0.250 0.825
Pr4 0.978 0.750 0.325
Fe1 0.245 0.250 0.295
Fe2 0.255 0.750 0.795
Fe3 0.745 0.250 0.205
Fe4 0.755 0.750 0.705
Te1 0.052 0.750 0.833
Te2 0.106 0.250 0.440
Te3 0.215 0.750 0.203
Te4 0.285 0.250 0.703
Te5 0.394 0.750 0.940
Te6 0.448 0.250 0.333
Te7 0.552 0.750 0.667
Te8 0.606 0.250 0.060
Te9 0.715 0.750 0.297
Te10 0.785 0.250 0.797
Te11 0.894 0.750 0.560
Te12 0.948 0.250 0.167

<x>
This record from the Open Quantum Materials Database describes a geometry-optimized RbPrFeTe3 structure. The functional is PBE.

a b c (Å): 11.960 4.485 16.354
angles (deg): 90.00 90.00 90.00
Fractional positions:
Rb1 0.223 0.250 0.006
Rb2 0.277 0.750 0.506
Rb3 0.723 0.250 0.494
Rb4 0.777 0.750 0.994
Pr1 0.015 0.750 0.257
Pr2 0.485 0.250 0.757
Pr3 0.515 0.750 0.243
Pr4 0.985 0.250 0.743
Fe1 0.236 0.750 0.782
Fe2 0.264 0.250 0.282
Fe3 0.736 0.750 0.718
Fe4 0.764 0.250 0.218
Te1 0.054 0.750 0.872
Te2 0.093 0.250 0.383
Te3 0.238 0.250 0.687
Te4 0.262 0.750 0.187
Te5 0.407 0.750 0.883
Te6 0.446 0.250 0.372
Te7 0.554 0.750 0.628
Te8 0.593 0.250 0.117
Te9 0.738 0.250 0.813
Te10 0.762 0.750 0.313
Te11 0.907 0.750 0.617
Te12 0.946 0.250 0.128

<y>
This record from the Open Quantum Materials Database describes a geometry-optimized RbPrFeTe3 structure. The functional is PBE.

a b c (Å): 9.768 4.412 11.251
angles (deg): 90.00 110.12 90.00
Fractional positions:
Rb1 0.249 0.250 0.286
Rb2 0.751 0.750 0.714
Pr1 0.317 0.750 0.858
Pr2 0.683 0.250 0.142
Fe1 0.064 0.250 0.578
Fe2 0.936 0.750 0.422
Te1 0.071 0.250 0.816
Te2 0.217 0.750 0.549
Te3 0.455 0.750 0.156
Te4 0.545 0.250 0.844
Te5 0.783 0.250 0.451
Te6 0.929 0.750 0.184

Least stable of them? <w>.

<w>
This record from the Open Quantum Materials Database describes a geometry-optimized RbPrFeTe3 structure. The functional is PBE.

a b c (Å): 12.523 4.677 13.788
angles (deg): 90.00 90.00 90.00
Fractional positions:
Rb1 0.178 0.250 0.002
Rb2 0.322 0.750 0.502
Rb3 0.678 0.250 0.498
Rb4 0.822 0.750 0.998
Pr1 0.023 0.250 0.675
Pr2 0.477 0.750 0.175
Pr3 0.523 0.250 0.825
Pr4 0.977 0.750 0.325
Fe1 0.246 0.250 0.295
Fe2 0.254 0.750 0.795
Fe3 0.746 0.250 0.205
Fe4 0.754 0.750 0.705
Te1 0.051 0.750 0.834
Te2 0.106 0.250 0.439
Te3 0.215 0.750 0.204
Te4 0.285 0.250 0.704
Te5 0.394 0.750 0.939
Te6 0.449 0.250 0.334
Te7 0.551 0.750 0.666
Te8 0.606 0.250 0.061
Te9 0.715 0.750 0.296
Te10 0.785 0.250 0.796
Te11 0.894 0.750 0.561
Te12 0.949 0.250 0.166

<x>
This record from the Open Quantum Materials Database describes a geometry-optimized RbPrFeTe3 structure. The functional is PBE.

a b c (Å): 8.544 8.544 11.903
angles (deg): 90.00 90.00 149.62
Fractional positions:
Rb1 0.245 0.755 0.750
Rb2 0.755 0.245 0.250
Pr1 0.500 0.500 0.000
Pr2 0.500 0.500 0.500
Fe1 0.031 0.969 0.250
Fe2 0.969 0.031 0.750
Te1 0.127 0.873 0.073
Te2 0.127 0.873 0.427
Te3 0.435 0.565 0.250
Te4 0.565 0.435 0.750
Te5 0.873 0.127 0.573
Te6 0.873 0.127 0.927

<y>
This record from the Open Quantum Materials Database describes a geometry-optimized RbPrFeTe3 structure. The functional is PBE.

a b c (Å): 9.354 9.354 9.697
angles (deg): 94.28 94.28 30.10
Fractional positions:
Rb1 0.142 0.142 0.089
Rb2 0.858 0.858 0.911
Pr1 0.165 0.165 0.593
Pr2 0.835 0.835 0.407
Fe1 0.493 0.493 0.619
Fe2 0.507 0.507 0.381
Te1 0.000 0.000 0.500
Te2 0.338 0.338 0.635
Te3 0.376 0.376 0.205
Te4 0.500 0.500 0.000
Te5 0.624 0.624 0.795
Te6 0.662 0.662 0.365

<z>
This record from the Open Quantum Materials Database describes a geometry-optimized RbPrFeTe3 structure. The functional is PBE.

a b c (Å): 10.787 4.601 16.786
angles (deg): 90.00 90.00 90.00
Fractional positions:
Rb1 0.047 0.250 0.173
Rb2 0.453 0.750 0.673
Rb3 0.547 0.250 0.327
Rb4 0.953 0.750 0.827
Pr1 0.166 0.750 0.440
Pr2 0.334 0.250 0.940
Pr3 0.666 0.750 0.060
Pr4 0.834 0.250 0.560
Fe1 0.153 0.250 0.626
Fe2 0.347 0.750 0.126
Fe3 0.653 0.250 0.874
Fe4 0.847 0.750 0.374
Te1 0.028 0.750 0.612
Te2 0.169 0.750 0.019
Te3 0.215 0.250 0.772
Te4 0.285 0.750 0.272
Te5 0.331 0.250 0.519
Te6 0.472 0.250 0.112
Te7 0.528 0.750 0.888
Te8 0.669 0.750 0.481
Te9 0.715 0.250 0.728
Te10 0.785 0.750 0.228
Te11 0.831 0.250 0.981
Te12 0.972 0.250 0.388

Least stable of them? <y>.

<w>
This record from the Open Quantum Materials Database describes a geometry-optimized PrFeTc structure. The functional is PBE.

a b c (Å): 4.442 4.442 4.442
angles (deg): 60.00 60.00 60.00
Fractional positions:
Pr1 0.000 0.000 0.000
Fe1 0.250 0.250 0.250
Tc1 0.500 0.500 0.500

<x>
This record from the Open Quantum Materials Database describes a geometry-optimized PrFeTc structure. The functional is PBE.

a b c (Å): 4.555 4.555 4.555
angles (deg): 60.00 60.00 60.00
Fractional positions:
Pr1 0.000 0.000 0.000
Fe1 0.750 0.750 0.750
Tc1 0.250 0.250 0.250

Least stable of them? <x>.